(1)
## Mg2HgPd (PBE-GGA)

Data for a geometry-optimized Mg2HgPd structure.

Unit cell a=4.615 b=4.615 c=3.432 alpha=90.00 beta=90.00 gamma=90.00
Space group P4/mmm (No. 123)
Inequivalent atoms, fractional coordinates:
1 Mg 0.000 0.500 0.000 [2 per cell]
2 Hg 0.000 0.000 0.500 [1 per cell]
3 Pd 0.500 0.500 0.500 [1 per cell]

## Properties
The calculated volume is 18.28 Å³ per atom. As for the energy of formation: -455.0 meV per atom. The total moment is 0.00 μB per formula unit. The value obtained for the density is 8.077 g cm⁻³.

***

(2)
## Gd2LuBr (PBE-GGA)

Data for a geometry-optimized Gd2LuBr structure.

Unit cell a=3.530 b=3.530 c=9.449 alpha=90.00 beta=90.00 gamma=90.00
Space group P4/mmm (No. 123)
Inequivalent atoms, fractional coordinates:
1 Gd 0.000 0.000 0.239 [2 per cell]
2 Lu 0.500 0.500 0.500 [1 per cell]
3 Br 0.500 0.500 0.000 [1 per cell]

## Properties
The calculated volume is 29.43 Å³ per atom. The raw formation energy is -1.843 eV/f.u. The total moment is 15.08 μB per formula unit. As for the offset from the most stable computed form: 0.29 eV per formula unit. The value obtained for the density is 8.032 g cm⁻³.

***

(3)
## MnPbSCl2 (PBE-GGA)

Data for a geometry-optimized MnPbSCl2 structure.

Unit cell a=5.481 b=5.481 c=5.398 alpha=90.00 beta=90.00 gamma=90.00
Space group P4/mmm (No. 123)
Inequivalent atoms, fractional coordinates:
1 Mn 0.000 0.000 0.000 [1 per cell]
2 Pb 0.500 0.500 0.500 [1 per cell]
3 S 0.500 0.500 0.000 [1 per cell]
4 Cl 0.000 0.500 0.500 [2 per cell]

## Properties
The calculated volume is 32.43 Å³ per atom. The raw formation energy is 0.451 eV/f.u. The total moment is 5.58 μB per formula unit. As for the offset from the most stable computed form: 3.53 eV per formula unit. The value obtained for the density is 3.739 g cm⁻³.

***

(4)
## Ac2YTh (PBE-GGA)

Data for a geometry-optimized Ac2YTh structure.

Unit cell a=3.6849 b=3.6849 c=39.5716 alpha=90.00 beta=90.00 gamma=120.00
Space group R-3m (No. 166, hexagonal axes)
Inequivalent atoms, fractional coordinates:
1 Ac 0.0000 0.0000 0.0891 [6 per cell]
2 Y 0.0000 0.0000 0.5000 [3 per cell]
3 Th 0.0000 0.0000 0.0000 [3 per cell]

## Properties
The calculated volume is 38.78 Å³ per atom. As for the energy of formation: 284.5 meV per atom. The total moment is 0.00 μB per formula unit. As for the offset from the most stable computed form: 0.67 eV per formula unit. The value obtained for the density is 8.296 g cm⁻³.